! Pr3YMg2 PBE optimized geometry; values from VASP
! ΔE_f: -0.4 eV/f.u.
! N(E_F): 6.49 states/eV/cell
&SYSTEM
  ibrav = 0, nat = 6, ntyp = 3
/
ATOMIC_SPECIES
Pr 140.91 Pr.upf
Y 88.91 Y.upf
Mg 24.30 Mg.upf
ATOMIC_POSITIONS angstrom
Pr 0.000 0.000 0.000
Pr 0.000 0.000 3.965
Pr 0.000 0.000 8.849
Y 1.922 1.922 6.407
Mg 1.922 1.922 1.981
Mg 1.922 1.922 10.833
CELL_PARAMETERS angstrom
3.845 0.000 0.000
0.000 3.845 0.000
0.000 0.000 12.814